Entry from the Alexandria database: a relaxed structure of ReWI2O (PBE with a Hubbard U).

a = 5.6794 Å, b = 5.6794 Å, c = 3.7627 Å
α = 90.00°, β = 90.00°, γ = 90.00°
With the nearest neighbours (Å) after each atom.
Fractional coordinates of all 5 atoms:
O (0.0000, 0.0000, 0.5000)  2 W 1.88
W (0.0000, 0.0000, 0.0000)  2 O 1.88
I (0.5000, 0.0000, 0.0000)  2 W 2.84
I (0.0000, 0.5000, 0.0000)  2 W 2.84
Re (0.5000, 0.5000, 0.5000)  8 I 3.41, 2 Re 3.76

The calculation puts the energy at -4.485 eV/atom. The total magnetic moment comes out at 2.51 μB/f.u. The calculation puts the energy above the most stable polymorph in this dataset at 48.30 kJ per mole of atoms.